Crystalline Ac3NpIr8 at its relaxed geometry, computed with PBE.

Volume, Å³ per atom: 19.75
E, eV per atom: -8.505
Total magnetization, μB per cell: 3.5

Lattice parameters (Å, degrees): 9.543 9.543 9.543 33.59 33.59 33.59
Atoms (fractional coordinates):
Ac 0.000 0.000 0.000
Ac 0.126 0.126 0.126
Ac 0.502 0.502 0.502
Np 0.626 0.626 0.626
Ir 0.056 0.563 0.563
Ir 0.064 0.064 0.568
Ir 0.064 0.568 0.064
Ir 0.312 0.312 0.312
Ir 0.563 0.056 0.563
Ir 0.563 0.563 0.056
Ir 0.568 0.064 0.064
Ir 0.813 0.813 0.813

=====

Crystalline MnCu2Re at its relaxed geometry, computed with PBE.

Volume, Å³ per atom: 12.97
E, eV per atom: -7.263
Total magnetization, μB per cell: 2.9

Lattice parameters (Å, degrees): 2.611 2.611 7.609 90.00 90.00 90.00
Atoms (fractional coordinates):
Mn 0.000 0.000 0.000
Cu 0.000 0.000 0.521
Cu 0.500 0.500 0.758
Re 0.500 0.500 0.260

=====

Crystalline AcEr3S6 at its relaxed geometry, computed with PBE.

Volume, Å³ per atom: 24.28
E, eV per atom: -6.382
Total magnetization, μB per cell: 0.0

Lattice parameters (Å, degrees): 11.131 4.041 11.419 90.00 108.96 90.00
Atoms (fractional coordinates):
Ac 0.055 0.250 0.198
Ac 0.945 0.750 0.802
Er 0.162 0.250 0.590
Er 0.323 0.750 0.999
Er 0.452 0.250 0.334
Er 0.548 0.750 0.666
Er 0.677 0.250 0.001
Er 0.838 0.750 0.410
S 0.082 0.750 0.412
S 0.127 0.250 0.963
S 0.202 0.750 0.748
S 0.279 0.750 0.232
S 0.390 0.250 0.552
S 0.478 0.250 0.110
S 0.522 0.750 0.890
S 0.610 0.750 0.448
S 0.721 0.250 0.768
S 0.798 0.250 0.252
S 0.873 0.750 0.037
S 0.918 0.250 0.588

=====

Crystalline PrGdLuRu at its relaxed geometry, computed with PBE.

Volume, Å³ per atom: 25.16
E, eV per atom: -8.030
Total magnetization, μB per cell: 7.2

Lattice parameters (Å, degrees): 5.221 5.221 5.221 60.00 60.00 60.00
Atoms (fractional coordinates):
Pr 0.000 0.000 0.000
Gd 0.500 0.500 0.500
Lu 0.750 0.750 0.750
Ru 0.250 0.250 0.250

=====

Crystalline Sr2ScZnSe5 at its relaxed geometry, computed with PBE.

Volume, Å³ per atom: 26.08
E, eV per atom: -4.626
Total magnetization, μB per cell: 0.0

Lattice parameters (Å, degrees): 9.378 9.378 12.596 90.00 90.00 154.92
Atoms (fractional coordinates):
Sr 0.118 0.882 0.500
Sr 0.126 0.874 0.131
Sr 0.874 0.126 0.631
Sr 0.882 0.118 0.000
Sc 0.207 0.793 0.831
Sc 0.793 0.207 0.331
Zn 0.438 0.562 0.250
Zn 0.562 0.438 0.750
Se 0.055 0.945 0.859
Se 0.293 0.707 0.475
Se 0.305 0.695 0.182
Se 0.352 0.648 0.819
Se 0.499 0.501 0.581
Se 0.501 0.499 0.081
Se 0.648 0.352 0.319
Se 0.695 0.305 0.682
Se 0.707 0.293 0.975
Se 0.945 0.055 0.359

=====

Crystalline AcSn2Hg2 at its relaxed geometry, computed with PBE.

Volume, Å³ per atom: 29.49
E, eV per atom: -2.847
Total magnetization, μB per cell: 0.0

Lattice parameters (Å, degrees): 5.612 4.848 10.872 90.00 94.47 90.00
Atoms (fractional coordinates):
Ac 0.220 0.250 0.244
Ac 0.780 0.750 0.756
Sn 0.178 0.750 0.500
Sn 0.202 0.250 0.872
Sn 0.798 0.750 0.128
Sn 0.822 0.250 0.500
Hg 0.286 0.750 0.018
Hg 0.381 0.250 0.634
Hg 0.619 0.750 0.366
Hg 0.714 0.250 0.982

=====

Crystalline Na2Bi2Pb at its relaxed geometry, computed with PBE.

Volume, Å³ per atom: 33.64
E, eV per atom: -3.025
Total magnetization, μB per cell: 0.0

Lattice parameters (Å, degrees): 6.986 6.986 10.920 113.49 113.49 44.37
Atoms (fractional coordinates):
Na 0.004 0.004 0.184
Na 0.166 0.166 0.578
Na 0.834 0.834 0.422
Na 0.996 0.996 0.816
Bi 0.366 0.366 0.907
Bi 0.450 0.450 0.609
Bi 0.550 0.550 0.391
Bi 0.634 0.634 0.093
Pb 0.298 0.298 0.155
Pb 0.702 0.702 0.845

=====

Crystalline Zr2W at its relaxed geometry, computed with PBE.

Volume, Å³ per atom: 20.52
E, eV per atom: -9.866
Total magnetization, μB per cell: 0.0

Lattice parameters (Å, degrees): 7.484 7.484 4.974 90.00 90.00 153.77
Atoms (fractional coordinates):
Zr 0.077 0.923 0.750
Zr 0.228 0.772 0.250
Zr 0.772 0.228 0.750
Zr 0.923 0.077 0.250
W 0.424 0.576 0.750
W 0.576 0.424 0.250